A relaxed AcMgAl crystal. Source: the Alexandria database, functional PBE-GGA.

a b c (Å): 4.459 6.104 7.192
angles (deg): 104.63 108.06 90.00
Atoms (fractional coordinates):
Ac 0.120 0.299 0.239
Ac 0.880 0.701 0.761
Mg 0.410 0.229 0.820
Mg 0.590 0.771 0.180
Al 0.227 0.856 0.454
Al 0.773 0.144 0.546

The formation enthalpy at 0 K comes out at -187 meV/atom. The energy above the most stable polymorph in this dataset comes out at 52 meV per atom. The space group is C2/m (12).